Compound: YMnBe2
Source: the Alexandria database
Functional: GGA-PBE
Structure: relaxed

```
4
Lattice="3.6502 0.0000 0.0000 0.0000 1.5556 5.3699 0.0000 -1.5556 5.3699" Properties=species:S:1:pos:R:3 pbc="T T T"
Y 0.0000 0.0000 0.0000
Mn 1.8251 0.0000 3.1800
Be 0.0000 0.0000 7.9099
Be 1.8251 0.0000 6.8368
```

Energy above the most stable polymorph in this dataset   122 meV per atom
Formation enthalpy at 0 K   148.6 meV/atom
Symmetry   Amm2
Total magnetic moment   2.9 μB per formula unit